Density functional theory data (PBE) for a geometry-optimized Li2Ce3Ga3 structure.

```
data_Li2Ce3Ga3
_cell_length_a 4.415
_cell_length_b 4.626
_cell_length_c 16.419
_cell_angle_alpha 90.00
_cell_angle_beta 90.00
_cell_angle_gamma 90.00
_symmetry_space_group_name_H-M 'I m m m'
_symmetry_Int_Tables_number 71
_symmetry_space_group_name_Hall '-I 2 2'
loop_
_atom_site_label
_atom_site_fract_x
_atom_site_fract_y
_atom_site_fract_z
Li1 0.000 0.000 0.244
Ce1 0.000 0.000 0.000
Ce2 0.000 0.500 0.130
Ga1 0.000 0.000 0.500
Ga2 0.000 0.500 0.349
```

Results
The formation enthalpy at 0 K is -0.306 eV per atom. For the spin magnetization, the calculation gives 4.3 Bohr magnetons per cell.

Density functional theory data (PBE) for a geometry-optimized PaBi3 structure.

```
data_PaBi3
_cell_length_a 4.897
_cell_length_b 4.897
_cell_length_c 4.897
_cell_angle_alpha 90.00
_cell_angle_beta 90.00
_cell_angle_gamma 90.00
_symmetry_space_group_name_H-M 'P m -3 m'
_symmetry_Int_Tables_number 221
_symmetry_space_group_name_Hall '-P 4 2 3'
loop_
_atom_site_label
_atom_site_fract_x
_atom_site_fract_y
_atom_site_fract_z
Pa1 0.000 0.000 0.000
Bi1 0.000 0.500 0.500
```

Results
The value obtained for the energy above the most stable polymorph in this dataset is 39 meV/atom. The formation enthalpy at 0 K is -0.076 eV per atom. For the spin magnetization, the calculation gives 0.4 Bohr magnetons per cell.

Density functional theory data (PBE) for a geometry-optimized Na2Cu2B structure.

```
data_Na2Cu2B
_cell_length_a 5.565
_cell_length_b 5.565
_cell_length_c 5.023
_cell_angle_alpha 90.00
_cell_angle_beta 90.00
_cell_angle_gamma 90.00
_symmetry_space_group_name_H-M 'P 4/m b m'
_symmetry_Int_Tables_number 127
_symmetry_space_group_name_Hall '-P 4 2ab'
loop_
_atom_site_label
_atom_site_fract_x
_atom_site_fract_y
_atom_site_fract_z
Na1 0.179 0.321 0.000
Cu1 0.175 0.675 0.500
B1 0.000 0.000 0.500
```

Results
The formation enthalpy at 0 K is 0.385 eV per atom. For the spin magnetization, the calculation gives 0.0 Bohr magnetons per cell.

Density functional theory data (PBE) for a geometry-optimized Ca4Zn2Au5 structure.

```
data_Ca4Zn2Au5
_cell_length_a 7.599
_cell_length_b 3.990
_cell_length_c 8.500
_cell_angle_alpha 90.00
_cell_angle_beta 90.93
_cell_angle_gamma 90.00
_symmetry_space_group_name_H-M 'P 1 2/m 1'
_symmetry_Int_Tables_number 10
loop_
_symmetry_equiv_pos_as_xyz
'x,y,z'
'-x,-y,-z'
'-x,y,-z'
'x,-y,z'
loop_
_atom_site_label
_atom_site_fract_x
_atom_site_fract_y
_atom_site_fract_z
Ca1 0.222 0.000 0.372
Ca2 0.273 0.000 0.874
Zn1 0.426 0.500 0.626
Au1 0.000 0.500 0.000
Au2 0.086 0.500 0.651
Au3 0.370 0.500 0.129
```

Results
The formation enthalpy at 0 K is -0.625 eV per atom. For the spin magnetization, the calculation gives 0.0 Bohr magnetons per cell.

Density functional theory data (PBE) for a geometry-optimized La2RhCl structure.

```
data_La2RhCl
_cell_length_a 3.732
_cell_length_b 3.774
_cell_length_c 15.578
_cell_angle_alpha 90.00
_cell_angle_beta 90.00
_cell_angle_gamma 90.00
_symmetry_space_group_name_H-M 'I m m 2'
_symmetry_Int_Tables_number 44
loop_
_symmetry_equiv_pos_as_xyz
'x,y,z'
'-x,-y,z'
'-x,y,z'
'x,-y,z'
'x+1/2,y+1/2,z+1/2'
'-x+1/2,-y+1/2,z+1/2'
'-x+1/2,y+1/2,z+1/2'
'x+1/2,-y+1/2,z+1/2'
loop_
_atom_site_label
_atom_site_fract_x
_atom_site_fract_y
_atom_site_fract_z
La1 0.000 0.000 0.000
La2 0.000 0.500 0.279
Rh1 0.000 0.500 0.866
Cl1 0.000 0.000 0.614
```

Results
The value obtained for the energy above the most stable polymorph in this dataset is 217 meV/atom. As for the formation energy (no corrections): -103.1 kJ/mol of atoms. For the spin magnetization, the calculation gives 0.0 Bohr magnetons per cell.

Density functional theory data (PBE) for a geometry-optimized BeAl2Ir structure.

```
data_BeAl2Ir
_cell_length_a 3.812
_cell_length_b 3.812
_cell_length_c 7.228
_cell_angle_alpha 90.00
_cell_angle_beta 90.00
_cell_angle_gamma 90.00
_symmetry_space_group_name_H-M 'I 4/m m m'
_symmetry_Int_Tables_number 139
_symmetry_space_group_name_Hall '-I 4 2'
loop_
_atom_site_label
_atom_site_fract_x
_atom_site_fract_y
_atom_site_fract_z
Be1 0.000 0.000 0.000
Al1 0.000 0.500 0.250
Ir1 0.000 0.000 0.500
```

Results
The formation enthalpy at 0 K is -0.473 eV per atom. For the spin magnetization, the calculation gives 0.0 Bohr magnetons per cell.

Density functional theory data (PBE) for a geometry-optimized Pr3Cd4Hg2 structure.

```
data_Pr3Cd4Hg2
_cell_length_a 11.285
_cell_length_b 5.088
_cell_length_c 9.454
_cell_angle_alpha 90.00
_cell_angle_beta 119.41
_cell_angle_gamma 90.00
_symmetry_space_group_name_H-M 'C 1 2/m 1'
_symmetry_Int_Tables_number 12
loop_
_symmetry_equiv_pos_as_xyz
'x,y,z'
'-x,-y,-z'
'-x,y,-z'
'x,-y,z'
'x+1/2,y+1/2,z'
'-x+1/2,-y+1/2,-z'
'-x+1/2,y+1/2,-z'
'x+1/2,-y+1/2,z'
loop_
_atom_site_label
_atom_site_fract_x
_atom_site_fract_y
_atom_site_fract_z
Pr1 0.000 0.000 0.000
Pr2 0.169 0.500 0.664
Cd1 0.049 0.000 0.384
Cd2 0.226 0.500 0.057
Hg1 0.109 0.500 0.276
```

Results
The value obtained for the energy above the most stable polymorph in this dataset is 8 meV/atom. The formation enthalpy at 0 K is -0.388 eV per atom. For the spin magnetization, the calculation gives 0.0 Bohr magnetons per cell.

Density functional theory data (PBE) for a geometry-optimized CeTe structure.

```
data_CeTe
_cell_length_a 4.015
_cell_length_b 11.908
_cell_length_c 5.131
_cell_angle_alpha 90.00
_cell_angle_beta 90.00
_cell_angle_gamma 90.00
_symmetry_space_group_name_H-M 'C m c m'
_symmetry_Int_Tables_number 63
_symmetry_space_group_name_Hall '-C 2c 2'
loop_
_atom_site_label
_atom_site_fract_x
_atom_site_fract_y
_atom_site_fract_z
Ce1 0.000 0.116 0.250
Te1 0.000 0.385 0.250
```

Results
As for the formation energy (no corrections): -119.1 kJ/mol of atoms. For the spin magnetization, the calculation gives 6.7 Bohr magnetons per cell.